No. 1
The following is a PBE calculation of crystalline MgFe2W at its relaxed geometry, from Alexandria.

Unit cell a=8.842 b=8.842 c=8.842 alpha=18.13 beta=18.13 gamma=18.13
Last column: magnetic moment on the atom in μB.
Positions (direct):
W (0.742, 0.742, 0.742)  -0.24
Fe (0.995, 0.995, 0.995)  2.02
Fe (0.259, 0.259, 0.259)  2.41
Mg (0.505, 0.505, 0.505)  -0.01

Properties
For the formation energy, the calculation gives 1.457 eV/f.u. Its space group is R3m, No. 160.


No. 2
The following is a PBE calculation of crystalline MgFe2W at its relaxed geometry, from Alexandria.

Unit cell a=2.909 b=2.909 c=6.827 alpha=90.00 beta=90.00 gamma=90.00
Last column: magnetic moment on the atom in μB.
Positions (direct):
Fe (0.500, 0.500, 0.211)  2.58
Fe (0.000, 0.000, 0.018)  1.86
W (0.500, 0.500, 0.791)  -0.01
Mg (0.000, 0.000, 0.480)  -0.02

Properties
For the formation energy, the calculation gives 1.141 eV/f.u. Its space group is P4mm, No. 99.


no.,total magnetization (μB per formula unit)
1,4.07
2,4.41